Entry 1:
The following is a GGA-PBE calculation of crystalline MnCd2Re at its relaxed geometry, from the Alexandria database.

Structure (POSCAR):
```
MnCd2Re
1.0
9.898 0.022 0.013
9.488 2.820 0.013
9.488 1.391 2.453
Cd Mn Re
2 1 1
Direct
0.007 0.007 0.007
0.240 0.240 0.240
0.492 0.492 0.492
0.762 0.762 0.762
```

## Properties
- Formation energy from the elements: 0.317 eV per atom
- Distance to the lowest polymorph of the same formula: 0.076 eV per atom
- Volume: 67.6 Å³/cell


Entry 2:
The following is a GGA-PBE calculation of crystalline Sb3PdO at its relaxed geometry, from the Alexandria database.

Structure (POSCAR):
```
Sb3PdO
1.0
4.722 0.000 0.000
0.000 4.722 0.000
0.000 0.000 4.722
Sb O Pd
3 1 1
Direct
0.000 0.500 0.000
0.000 0.000 0.500
0.500 0.000 0.000
0.000 0.000 0.000
0.500 0.500 0.500
```

## Properties
- Raw formation energy: -0.01 eV/atom
- Distance to the lowest polymorph of the same formula: 0.000 eV per atom
- Volume: 105.3 Å³/cell


no.,spin magnetization (μB per formula unit)
1,0.0
2,0.0